Y2Ta2As: relaxed, GGA-PBE.

```
Y2Ta2As
1.0
-1.8536 1.8536 9.0049
1.8536 -1.8536 9.0049
1.8536 1.8536 -9.0049
Y Ta As
2 2 1
Cartesian
0.0000 0.0000 10.6882
0.0000 0.0000 7.3216
1.8536 0.0000 4.5025
0.0000 1.8536 4.5025
0.0000 0.0000 0.0000
```

Calculated values
- DFT formation energy: 3.48 kJ/mol of atoms
- E: -8.221 eV/atom
- Density: 8.25 g/cm³
- Total moment: 0.01 μB/f.u.